Record 1
## Tl2Hg2Se3 (GGA-PBE)

Data for an optimized crystal structure of Tl2Hg2Se3.

Lattice parameters (Å, degrees): 7.814 7.814 7.814 109.47 109.47 109.47
Positions (direct):
Hg  0.872  0.500  0.000
Hg  0.000  0.872  0.500
Hg  0.628  0.628  0.628
Hg  0.500  0.000  0.872
Se  0.750  0.861  0.111
Se  0.639  0.389  0.250
Se  0.250  0.639  0.389
Se  0.389  0.250  0.639
Se  0.861  0.111  0.750
Se  0.111  0.750  0.861
Tl  0.355  0.500  0.000
Tl  0.145  0.145  0.145
Tl  0.500  0.000  0.355
Tl  0.000  0.355  0.500

Symmetry: No. 199
E above lowest polymorph (kJ per mole of atoms): 0.0

=====

Record 2
## MoPdAu (GGA-PBE)

Data for an optimized crystal structure of MoPdAu.

Lattice parameters (Å, degrees): 4.300 4.300 4.300 60.00 60.00 60.00
Positions (direct):
Au  0.250  0.250  0.250
Mo  0.750  0.750  0.750
Pd  0.000  0.000  0.000

Symmetry: No. 216
E above lowest polymorph (kJ per mole of atoms): 0.0
Size of the total moment (μB/atom): 0.01

=====

Record 3
## K3Na2ReO6 (GGA-PBE)

Data for an optimized crystal structure of K3Na2ReO6.

Lattice parameters (Å, degrees): 6.217 6.217 5.705 98.65 98.65 119.74
Positions (direct):
K  0.669  0.331  0.000
K  0.331  0.669  0.000
K  0.500  0.500  0.500
Na  0.859  0.141  0.500
Na  0.141  0.859  0.500
O  0.805  0.805  0.203
O  0.306  0.053  0.206
O  0.053  0.306  0.206
O  0.947  0.694  0.794
O  0.694  0.947  0.794
O  0.195  0.195  0.797
Re  0.000  0.000  0.000

Symmetry: No. 12
E above lowest polymorph (kJ per mole of atoms): 1.3
Size of the total moment (μB/atom): 0.00

=====

Record 4
## Ho2TmCo2C2N3 (GGA-PBE)

Data for an optimized crystal structure of Ho2TmCo2C2N3.

Lattice parameters (Å, degrees): 9.925 9.925 9.925 160.17 160.17 28.19
Positions (direct):
C  0.193  0.193  0.000
C  0.807  0.807  0.000
Co  0.750  0.250  0.500
Co  0.250  0.750  0.500
Ho  0.374  0.374  0.000
Ho  0.626  0.626  0.000
N  0.119  0.119  0.000
N  0.500  0.500  0.000
N  0.881  0.881  0.000
Tm  0.000  0.000  0.000

Symmetry: No. 139
VASP energy (eV per atom): -8.089
Size of the total moment (μB/atom): 0.00

=====

Record 5
## Ni3Mo2W4C3 (GGA-PBE)

Data for an optimized crystal structure of Ni3Mo2W4C3.

Lattice parameters (Å, degrees): 5.051 5.051 13.776 100.55 100.55 59.98
Positions (direct):
C  0.667  0.167  0.000
C  0.000  0.500  0.000
C  0.333  0.833  0.000
C  0.833  0.333  0.500
C  0.500  0.000  0.500
C  0.167  0.667  0.500
Mo  0.368  0.533  0.099
Mo  0.467  0.632  0.401
Mo  0.533  0.368  0.599
Mo  0.632  0.467  0.901
Ni  0.416  0.934  0.250
Ni  0.768  0.232  0.250
Ni  0.066  0.584  0.250
Ni  0.934  0.416  0.750
Ni  0.232  0.768  0.750
Ni  0.584  0.066  0.750
W  0.699  0.864  0.097
W  0.031  0.200  0.097
W  0.800  0.969  0.403
W  0.136  0.301  0.403
W  0.864  0.699  0.597
W  0.200  0.031  0.597
W  0.969  0.800  0.903
W  0.301  0.136  0.903

Symmetry: No. 15
VASP energy (eV per atom): -9.722
Size of the total moment (μB/atom): 0.00

=====

Record 6
## CoB2Pt (GGA-PBE)

Data for an optimized crystal structure of CoB2Pt.

Lattice parameters (Å, degrees): 3.880 3.880 3.880 60.00 60.00 60.00
Positions (direct):
B  0.000  0.000  0.000
B  0.750  0.750  0.750
Co  0.250  0.250  0.250
Pt  0.500  0.500  0.500

Symmetry: No. 216
VASP energy (eV per atom): -5.636
Size of the total moment (μB/atom): 0.00